Crystalline Mn3O2F4 at its relaxed geometry. Source: Alexandria, functional GGA+U.

Cell and atoms, written as POSCAR:
```
Mn3O2F4
1.0
-1.1319 4.5930 0.5434
-1.7715 -1.0752 5.3975
7.2160 1.3992 3.2039
Mn O F
6 4 8
Cartesian
3.1089 2.5769 5.4359
-0.9493 1.9954 1.5036
0.1568 1.9049 6.2087
4.7239 5.1049 7.8996
0.6443 4.6101 3.9775
4.6608 0.9626 2.6937
6.1519 2.0731 3.2122
3.2289 1.2706 3.9987
-1.7031 2.2913 5.8672
1.2149 3.1141 5.0832
0.1562 0.4597 4.6777
2.0095 1.2168 6.6923
5.1521 2.0669 5.9939
1.1051 1.4926 2.0885
4.2754 3.9746 4.4101
-0.9644 3.3570 3.2109
2.1750 4.2200 2.5140
3.1005 3.8586 7.1077
```

## Properties
The calculation puts the energy relative to the lowest polymorph listed for this composition at 0.21 eV/f.u. As for the total energy: -118.81 eV for the cell shown. The calculation puts the mass density at 4.113 g cm⁻³. The calculation puts the size of the total moment at 26.0 μB per cell.